This record from the Alexandria database describes a relaxed VCdCl2O crystal. The functional is PBE+U.

- energy (eV/atom) = -3.2545
- excess energy over the best structure of this formula in the dataset (eV/atom) = 0.553

Lattice parameters (Å, degrees): 5.531 5.531 3.873 90.00 90.00 90.00
Space group P4/mmm (No. 123)
Inequivalent atoms, fractional coordinates:
V: 0.000 0.000 0.000
Cd: 0.500 0.500 0.000
Cl: 0.000 0.500 0.500
O: 0.500 0.500 0.500